# CdFeN2O (PBE with a Hubbard U, relaxed)
# - theoretical density (Mg/m³) = 6.0
# - DOS(E_F) (states/eV per atom) = 0.548
# - size of the total moment (μB per formula unit) = 2.1
# - VASP energy (eV per atom) = -4.90
data_CdFeN2O
_chemical_formula_sum 'Cd1 Fe1 N2 O1'
_space_group_name_H-M_alt 'P 4/m m m'
_space_group_IT_number 123
_space_group_name_Hall '-P 4 2'
_cell_length_a 3.896
_cell_length_b 3.896
_cell_length_c 3.890
_cell_angle_alpha 90.00
_cell_angle_beta 90.00
_cell_angle_gamma 90.00
loop_
_atom_site_label
_atom_site_type_symbol
_atom_site_fract_x
_atom_site_fract_y
_atom_site_fract_z
Cd1 Cd 0.000 0.000 0.000
Fe1 Fe 0.500 0.500 0.500
N1 N 0.000 0.500 0.500
O1 O 0.500 0.500 0.000